# Mg2GaB2Ru5 (GGA-PBE, optimized geometry)
data_Mg2GaB2Ru5
_cell_length_a 2.937
_cell_length_b 9.435
_cell_length_c 9.435
_cell_angle_alpha 90.00
_cell_angle_beta 90.00
_cell_angle_gamma 90.00
_space_group_name_H-M_alt 'P 1'
_space_group_IT_number 1
_space_group_name_Hall 'P 1'
loop_
_atom_site_label
_atom_site_fract_x
_atom_site_fract_y
_atom_site_fract_z
Ru1 0.500 0.568 0.715
Ru2 0.500 0.000 0.500
Ru3 0.500 0.500 0.000
Ru4 0.500 0.068 0.785
Ru5 0.500 0.215 0.068
Ru6 0.500 0.932 0.215
Ru7 0.500 0.785 0.932
Ru8 0.500 0.285 0.568
Ru9 0.500 0.715 0.432
Ru10 0.500 0.432 0.285
B1 0.000 0.375 0.125
B2 0.000 0.625 0.875
B3 0.000 0.125 0.625
B4 0.000 0.875 0.375
Mg1 0.000 0.323 0.823
Mg2 0.000 0.677 0.177
Mg3 0.000 0.823 0.677
Mg4 0.000 0.177 0.323
Ga1 0.000 0.500 0.500
Ga2 0.000 0.000 0.000
# theoretical density = 8.20 g/cm3
# size of the total moment = 0.00 μB per formula unit
# Fermi-level density of states = 10.10 states/eV/f.u.
# formation energy from the elements = -0.244 eV/atom
# raw total energy = -6.8392 eV per atom